(1)
GaHNO2 (PBE-GGA, relaxed); symmetry = No. 123; spin magnetization = 0.23 μB/cell; final energy = -20.62 eV per cell
1.0
3.8187 0.0000 0.0000
0.0000 3.8187 0.0000
0.0000 0.0000 2.6178
H O Ga N
1 2 1 1
Direct
0.0000 0.0000 0.0000 H
0.0000 0.5000 0.0000 O
0.5000 0.0000 0.0000 O
0.5000 0.5000 0.5000 Ga
0.0000 0.0000 0.5000 N

=====

(2)
GaHNO2 (PBE-GGA, relaxed); symmetry = No. 123; spin magnetization = 3.00 μB/cell; final energy = -19.99 eV per cell
1.0
3.7907 0.0000 0.0000
0.0000 3.7907 0.0000
0.0000 0.0000 4.2647
H O Ga N
1 2 1 1
Direct
0.5000 0.5000 0.5000 H
0.0000 0.5000 0.0000 O
0.5000 0.0000 0.0000 O
0.0000 0.0000 0.0000 Ga
0.0000 0.0000 0.5000 N

=====

(3)
Ga2P2H4NO8 (PBE-GGA, relaxed); symmetry = No. 15; spin magnetization = 0.00 μB/cell; final energy = -422.36 eV per cell
1.0
-4.9780 6.1916 4.6242
-7.4116 -5.6600 0.7255
4.1087 -3.3068 7.7251
Ga P H N O
8 8 16 4 32
Direct
0.8420 0.4430 0.3174 Ga
0.1580 0.5570 0.6826 Ga
0.6580 0.3174 0.4430 Ga
0.3420 0.6826 0.5570 Ga
0.6218 0.1727 0.9050 Ga
0.3782 0.8273 0.0950 Ga
0.8782 0.9050 0.1727 Ga
0.1218 0.0950 0.8273 Ga
0.9262 0.2035 0.0592 P
0.0738 0.7965 0.9408 P
0.5738 0.0592 0.2035 P
0.4262 0.9408 0.7965 P
0.5330 0.5982 0.2919 P
0.4670 0.4018 0.7081 P
0.9670 0.2919 0.5982 P
0.0330 0.7081 0.4018 P
0.8552 0.5098 0.8044 H
0.1448 0.4902 0.1956 H
0.6448 0.8044 0.5098 H
0.3552 0.1956 0.4902 H
0.7584 0.4954 0.9496 H
0.2416 0.5046 0.0504 H
0.7416 0.9496 0.4954 H
0.2584 0.0504 0.5046 H
0.6756 0.5718 0.8055 H
0.3244 0.4282 0.1945 H
0.8244 0.8055 0.5718 H
0.1756 0.1945 0.4282 H
0.8096 0.6564 0.9138 H
0.1904 0.3436 0.0862 H
0.6904 0.9138 0.6564 H
0.3096 0.0862 0.3436 H
0.7740 0.5597 0.8679 N
0.2260 0.4403 0.1321 N
0.7260 0.8679 0.5597 N
0.2740 0.1321 0.4403 N
0.4853 0.4458 0.3106 O
0.5147 0.5542 0.6894 O
0.0147 0.3106 0.4458 O
0.9853 0.6894 0.5542 O
0.6954 0.6037 0.2604 O
0.3046 0.3963 0.7396 O
0.8046 0.2604 0.6037 O
0.1954 0.7396 0.3963 O
0.1175 0.6465 0.8762 O
0.8825 0.3535 0.1238 O
0.3825 0.8762 0.6465 O
0.6175 0.1238 0.3535 O
0.8238 0.1564 0.9281 O
0.1762 0.8436 0.0719 O
0.6762 0.9281 0.1564 O
0.3238 0.0719 0.8436 O
0.5631 0.1744 0.0921 O
0.4369 0.8256 0.9079 O
0.9369 0.0921 0.1744 O
0.0631 0.9079 0.8256 O
0.9999 0.4288 0.6993 O
0.0001 0.5712 0.3007 O
0.5001 0.6993 0.4288 O
0.4999 0.3007 0.5712 O
0.5614 0.3454 0.8412 O
0.4386 0.6546 0.1588 O
0.9386 0.8412 0.3454 O
0.0614 0.1588 0.6546 O
0.9198 0.7941 0.0053 O
0.0802 0.2059 0.9947 O
0.5802 0.0053 0.7941 O
0.4198 0.9947 0.2059 O

=====

(4)
Ga2P2H9NO11 (PBE-GGA, relaxed); symmetry = No. 14; spin magnetization = 0.00 μB/cell; final energy = -586.64 eV per cell
1.0
-6.2360 -6.2369 4.3344
7.4190 -4.3543 4.4084
0.8670 5.1644 8.6785
Ga P H N O
8 8 36 4 44
Direct
0.2272 0.1008 0.1763 Ga
0.4652 0.1182 0.8719 Ga
0.7272 0.3992 0.3237 Ga
0.9652 0.3818 0.6281 Ga
0.0348 0.6182 0.3719 Ga
0.2728 0.6008 0.6763 Ga
0.5348 0.8818 0.1281 Ga
0.7728 0.8992 0.8237 Ga
0.5307 0.2060 0.1502 P
0.6857 0.2082 0.6354 P
0.0307 0.2940 0.3498 P
0.1857 0.2918 0.8646 P
0.8143 0.7082 0.1354 P
0.9693 0.7060 0.6502 P
0.3143 0.7918 0.3646 P
0.4693 0.7940 0.8498 P
0.7674 0.0824 0.1485 H
0.9836 0.0423 0.1145 H
0.2433 0.0066 0.4815 H
0.8359 0.0747 0.3765 H
0.2974 0.0273 0.6368 H
0.1491 0.1054 0.5683 H
0.8647 0.2078 0.1497 H
0.9505 0.1142 0.8299 H
0.6989 0.0678 0.9730 H
0.3647 0.2922 0.3503 H
0.3359 0.4253 0.1235 H
0.2567 0.5066 0.9815 H
0.4836 0.4577 0.3855 H
0.1989 0.4322 0.5270 H
0.2674 0.4176 0.3515 H
0.4505 0.3858 0.6701 H
0.2026 0.5273 0.1368 H
0.3509 0.6054 0.0683 H
0.6491 0.3946 0.9317 H
0.7974 0.4727 0.8632 H
0.5495 0.6142 0.3299 H
0.7326 0.5824 0.6485 H
0.8011 0.5678 0.4730 H
0.5164 0.5423 0.6145 H
0.7433 0.4934 0.0185 H
0.6641 0.5747 0.8765 H
0.6353 0.7078 0.6497 H
0.3011 0.9322 0.0270 H
0.0495 0.8858 0.1701 H
0.1353 0.7922 0.8503 H
0.8509 0.8946 0.4317 H
0.7026 0.9727 0.3632 H
0.1641 0.9253 0.6235 H
0.7567 0.9934 0.5185 H
0.0164 0.9577 0.8855 H
0.2326 0.9176 0.8515 H
0.2135 0.0183 0.5780 N
0.2865 0.5183 0.0780 N
0.7135 0.4817 0.9220 N
0.7865 0.9817 0.4220 N
0.3627 0.9997 0.0560 O
0.5875 0.0513 0.2006 O
0.8470 0.1321 0.1001 O
0.9275 0.0127 0.8664 O
0.7233 0.0479 0.6657 O
0.1675 0.2436 0.0187 O
0.1213 0.1869 0.3032 O
0.3840 0.2170 0.2060 O
0.8840 0.2830 0.2940 O
0.6213 0.3131 0.1968 O
0.6675 0.2564 0.4813 O
0.0259 0.2555 0.5085 O
0.5498 0.2277 0.7091 O
0.2952 0.2050 0.8084 O
0.3470 0.3679 0.3999 O
0.7952 0.2950 0.6916 O
0.0498 0.2723 0.7909 O
0.5259 0.2445 0.9915 O
0.0875 0.4487 0.2994 O
0.5725 0.5127 0.3664 O
0.7767 0.5479 0.1657 O
0.8627 0.5003 0.4440 O
0.1373 0.4997 0.5560 O
0.2233 0.4521 0.8343 O
0.4275 0.4873 0.6336 O
0.9125 0.5513 0.7006 O
0.4741 0.7555 0.0085 O
0.9502 0.7277 0.2091 O
0.2048 0.7050 0.3084 O
0.6530 0.6321 0.6001 O
0.7048 0.7950 0.1916 O
0.4502 0.7723 0.2909 O
0.9741 0.7445 0.4915 O
0.3325 0.7436 0.5187 O
0.3787 0.6869 0.8032 O
0.1160 0.7170 0.7060 O
0.6160 0.7830 0.7940 O
0.8787 0.8131 0.6968 O
0.8325 0.7564 0.9813 O
0.2767 0.9521 0.3343 O
0.0725 0.9873 0.1336 O
0.1530 0.8679 0.8999 O
0.4125 0.9487 0.7994 O
0.6373 0.0003 0.9440 O

=====

(5)
Ga2P3H12N3O12 (PBE-GGA, relaxed); symmetry = No. 15; spin magnetization = 0.00 μB/cell; final energy = -382.28 eV per cell
1.0
8.5185 0.0551 -0.0028
2.2104 8.2269 -0.0028
2.5924 2.0012 8.5798
Ga P H N O
4 6 24 6 24
Direct
0.7424 0.5921 0.4222 Ga
0.5921 0.7424 0.9222 Ga
0.4079 0.2576 0.0778 Ga
0.2576 0.4079 0.5778 Ga
0.6680 0.9172 0.1601 P
0.9172 0.6680 0.6601 P
0.5050 0.4950 0.2500 P
0.4950 0.5050 0.7500 P
0.0828 0.3320 0.3399 P
0.3320 0.0828 0.8399 P
0.7183 0.9653 0.4794 H
0.9653 0.7183 0.9794 H
0.4060 0.8718 0.4431 H
0.8546 0.3682 0.1357 H
0.8718 0.4060 0.9431 H
0.0696 0.0143 0.2993 H
0.1995 0.9048 0.1660 H
0.7904 0.1454 0.4377 H
0.8546 0.2096 0.0623 H
0.0952 0.8005 0.3340 H
0.3682 0.8546 0.6357 H
0.9857 0.9304 0.2007 H
0.0143 0.0696 0.7993 H
0.6318 0.1454 0.3643 H
0.9048 0.1995 0.6660 H
0.1454 0.7904 0.9377 H
0.2096 0.8546 0.5623 H
0.8005 0.0952 0.8340 H
0.9304 0.9857 0.7007 H
0.1282 0.5940 0.0569 H
0.1454 0.6318 0.8643 H
0.5940 0.1282 0.5569 H
0.0347 0.2817 0.0206 H
0.2817 0.0347 0.5206 H
0.9051 0.3165 0.0385 N
0.0904 0.9096 0.2500 N
0.6835 0.0949 0.4615 N
0.3165 0.9051 0.5385 N
0.9096 0.0904 0.7500 N
0.0949 0.6835 0.9615 N
0.9666 0.5064 0.3450 O
0.6299 0.8018 0.3277 O
0.7257 0.8143 0.0328 O
0.5064 0.9666 0.8450 O
0.9887 0.1948 0.3580 O
0.8018 0.6299 0.8277 O
0.8143 0.7257 0.5328 O
0.6759 0.4838 0.2851 O
0.4634 0.6393 0.1095 O
0.1948 0.9887 0.8580 O
0.3607 0.5366 0.3905 O
0.4838 0.6759 0.7851 O
0.5162 0.3241 0.2149 O
0.6393 0.4634 0.6095 O
0.8052 0.0113 0.1420 O
0.5366 0.3607 0.8905 O
0.3241 0.5162 0.7149 O
0.1857 0.2743 0.4672 O
0.1982 0.3701 0.1723 O
0.0113 0.8052 0.6420 O
0.4936 0.0334 0.1550 O
0.2743 0.1857 0.9672 O
0.3701 0.1982 0.6723 O
0.0334 0.4936 0.6550 O

=====

(6)
Zn2GaP3H8N2O12 (PBE-GGA, relaxed); symmetry = No. 1; spin magnetization = 0.00 μB/cell; final energy = -669.16 eV per cell
1.0
11.7308 0.0191 0.0147
-3.8764 11.1405 -0.0052
-3.9424 -5.5589 9.6769
Zn Ga P H N O
8 4 12 32 8 48
Direct
0.2287 0.1965 0.2686 Zn
0.0322 0.5742 0.3057 Zn
0.0490 0.9744 0.7764 Zn
0.4707 0.7635 0.5373 Zn
0.7057 0.2734 0.7308 Zn
0.0776 0.3019 0.5257 Zn
0.4317 0.9605 0.2275 Zn
0.7695 0.7219 0.1983 Zn
0.4598 0.2269 0.9240 Ga
0.2645 0.5451 0.9664 Ga
0.7183 0.9237 0.9577 Ga
0.8015 0.5386 0.5813 Ga
0.3127 0.0780 0.0347 P
0.2340 0.4610 0.4218 P
0.7686 0.4552 0.0414 P
0.1996 0.2431 0.7797 P
0.2718 0.6988 0.2310 P
0.7450 0.7822 0.7109 P
0.9665 0.4292 0.7222 P
0.9535 0.0353 0.2605 P
0.5724 0.0308 0.7951 P
0.5456 0.2698 0.4664 P
0.5331 0.7914 0.0687 P
0.9166 0.7282 0.4648 P
0.2597 0.0656 0.5907 H
0.1847 0.0250 0.4223 H
0.1530 0.8966 0.4648 H
0.2312 0.8303 0.7898 H
0.2905 0.7242 0.8180 H
0.3303 0.7935 0.7231 H
0.5365 0.4325 0.7006 H
0.4000 0.4632 0.6618 H
0.5655 0.5971 0.7675 H
0.9680 0.6738 0.9076 H
0.1006 0.7708 0.0727 H
0.9323 0.6966 0.0384 H
0.3133 0.9885 0.4873 H
0.1654 0.6668 0.6568 H
0.4972 0.4968 0.8267 H
0.9947 0.8310 0.0088 H
0.8632 0.9931 0.4977 H
0.6270 0.1439 0.1550 H
0.4775 0.5012 0.3576 H
0.9897 0.3628 0.0089 H
0.7411 0.9394 0.5406 H
0.8046 0.1003 0.5573 H
0.7012 0.9568 0.3967 H
0.7583 0.2982 0.2002 H
0.7102 0.2756 0.3157 H
0.7959 0.1957 0.2630 H
0.5974 0.5648 0.3103 H
0.4612 0.4001 0.2052 H
0.4319 0.5361 0.2291 H
0.9011 0.2001 0.9717 H
0.0406 0.2472 0.9476 H
0.0654 0.3069 0.1124 H
0.2290 0.9941 0.4914 N
0.2521 0.7519 0.7451 N
0.4996 0.4972 0.7409 N
0.9988 0.7448 0.0072 N
0.7770 0.9977 0.4981 N
0.7232 0.2279 0.2327 N
0.4928 0.5003 0.2760 N
0.9997 0.2792 0.0099 N
0.6071 0.3935 0.9852 O
0.2171 0.0914 0.0939 O
0.1398 0.5263 0.4262 O
0.9009 0.8823 0.8084 O
0.2946 0.4023 0.8858 O
0.3861 0.7890 0.3832 O
0.5974 0.0924 0.7056 O
0.0258 0.4277 0.6250 O
0.8882 0.9856 0.1011 O
0.9099 0.6239 0.5216 O
0.5145 0.1192 0.4076 O
0.5924 0.6936 0.0686 O
0.5115 0.0941 0.8806 O
0.4270 0.2933 0.3983 O
0.1271 0.6072 0.2024 O
0.9634 0.8727 0.5761 O
0.0790 0.4887 0.8743 O
0.3833 0.5661 0.4676 O
0.8019 0.3891 0.9302 O
0.1081 0.2091 0.6339 O
0.5837 0.8823 0.0066 O
0.7091 0.6303 0.6239 O
0.4128 0.0323 0.0998 O
0.8875 0.9212 0.2898 O
0.3067 0.1903 0.7718 O
0.1091 0.0764 0.3120 O
0.0270 0.7379 0.4182 O
0.2210 0.9746 0.8761 O
0.3710 0.6974 0.9616 O
0.4683 0.8737 0.7036 O
0.5956 0.3325 0.6240 O
0.2461 0.4070 0.5271 O
0.6771 0.7698 0.8051 O
0.9133 0.5382 0.7358 O
0.2623 0.7955 0.1694 O
0.8253 0.6112 0.0870 O
0.4089 0.2255 0.0567 O
0.1718 0.3386 0.2741 O
0.8334 0.4337 0.1652 O
0.1130 0.1741 0.8352 O
0.3162 0.5978 0.1500 O
0.6747 0.8282 0.6136 O
0.8495 0.2860 0.6736 O
0.9350 0.1601 0.3315 O
0.7145 0.0558 0.9049 O
0.6714 0.3550 0.4495 O
0.5604 0.8860 0.2124 O
0.7704 0.6697 0.3418 O